[1]
# BaPtSe2Br

A relaxed structure of BaPtSe2Br (PBE-GGA, the Alexandria database).

The calculation puts the offset from the most stable computed form at 1522 meV per atom.

a b c (Å): 6.318 6.318 6.065
angles (deg): 90.00 90.00 90.00
Space group P4/mmm (No. 123)
One atom of each set of equivalent atoms:
Ba  0.000  0.000  0.000 [1 per cell]
Pt  0.500  0.500  0.500 [1 per cell]
Se  0.000  0.500  0.000 [2 per cell]
Br  0.000  0.000  0.500 [1 per cell]

=====

[2]
# Ba8Pt3SeBr4

A relaxed structure of Ba8Pt3SeBr4 (PBE-GGA, the Alexandria database).

a b c (Å): 9.2908 9.2908 24.6153
angles (deg): 90.00 90.00 120.00
Space group R-3m (No. 166, hexagonal axes)
One atom of each set of equivalent atoms:
Ba  0.0000  0.0000  0.2391 [6 per cell]
Ba  0.0100  0.5050  0.7625 [18 per cell]
Pt  0.0000  0.5000  0.5000 [9 per cell]
Se  0.0000  0.0000  0.5000 [3 per cell]
Br  0.0000  0.0000  0.0000 [3 per cell]
Br  0.0000  0.5000  0.0000 [9 per cell]

=====

[3]
# BaPtSeBr2

A relaxed structure of BaPtSeBr2 (PBE-GGA, the Alexandria database).

The calculation puts the offset from the most stable computed form at 0 meV per atom.

a b c (Å): 5.217 5.217 5.200
angles (deg): 90.00 90.00 90.00
Space group P4/mmm (No. 123)
One atom of each set of equivalent atoms:
Ba  0.000  0.000  0.000 [1 per cell]
Pt  0.500  0.500  0.500 [1 per cell]
Se  0.500  0.500  0.000 [1 per cell]
Br  0.000  0.500  0.500 [2 per cell]

=====

[4]
# Ba4PtSeBr2

A relaxed structure of Ba4PtSeBr2 (PBE-GGA, the Alexandria database).

a b c (Å): 8.296 4.603 8.454
angles (deg): 90.00 106.38 90.00
Space group P2/m (No. 10)
One atom of each set of equivalent atoms:
Ba  0.228  0.000  0.217 [2 per cell]
Ba  0.246  0.500  0.786 [2 per cell]
Pt  0.000  0.500  0.000 [1 per cell]
Se  0.500  0.000  0.000 [1 per cell]
Br  0.000  0.000  0.500 [1 per cell]
Br  0.500  0.500  0.500 [1 per cell]

=====

It is found that the total magnetization values, taken in the order of the records, are 3.07; 2.51; 0.00; 0.00 Bohr magnetons per cell.
It is found that the ΔE_f (raw) values, taken in the order of the records, are 0.664; -1.409; -0.973; -1.542 eV per atom.